TiAgGe2Au | the Alexandria database | PBE | optimized geometry; calculated volume = 23.94 Å³/atom; E_form = 0.53 eV per atom
1.0
-1.450 2.219 -4.095
-4.803 -0.710 1.316
0.003 4.289 2.324
Ge Au Ag Ti
2 1 1 1
Direct
0.000 0.000 0.500
0.500 0.000 0.000
0.000 0.500 0.000
0.500 0.500 0.500
0.000 0.000 0.000